(i)
Sm2ErMg2: optimized geometry, GGA-PBE.

Unit cell a=3.790 b=5.443 c=14.161 alpha=90.00 beta=97.72 gamma=90.00
Fractional positions:
Sm 0.045 0.250 0.089
Sm 0.236 0.250 0.474
Sm 0.764 0.750 0.526
Sm 0.955 0.750 0.911
Er 0.151 0.750 0.301
Er 0.849 0.250 0.699
Mg 0.360 0.750 0.720
Mg 0.445 0.250 0.890
Mg 0.555 0.750 0.110
Mg 0.640 0.250 0.280

SG: P2_1/m, No. 11
mass density: 5.927 g/cm3
V: 289.5 Å³ per cell

(ii)
Sm2ErMg2: optimized geometry, GGA-PBE.

Unit cell a=5.232 b=6.946 c=8.241 alpha=90.00 beta=90.00 gamma=90.00
Fractional positions:
Sm 0.000 0.000 0.196
Sm 0.000 0.000 0.804
Sm 0.500 0.500 0.304
Sm 0.500 0.500 0.696
Er 0.000 0.500 0.000
Er 0.500 0.000 0.500
Mg 0.000 0.291 0.500
Mg 0.000 0.709 0.500
Mg 0.500 0.209 0.000
Mg 0.500 0.791 0.000

SG: Immm, No. 71
mass density: 5.728 g/cm3
V: 299.5 Å³ per cell

How do the energies compare? Relative to the most stable structure, in kJ/mol of atoms: (i) 0.0; (ii) 11.1.

(i)
Sm2Er3Mg: optimized geometry, GGA-PBE.

Unit cell a=3.295 b=9.991 c=11.703 alpha=90.00 beta=90.00 gamma=90.00
Fractional positions:
Sm 0.000 0.171 0.000
Sm 0.000 0.829 0.000
Sm 0.500 0.329 0.500
Sm 0.500 0.671 0.500
Er 0.000 0.000 0.268
Er 0.000 0.336 0.250
Er 0.000 0.664 0.250
Er 0.500 0.164 0.750
Er 0.500 0.500 0.768
Er 0.500 0.836 0.750
Mg 0.000 0.500 0.011
Mg 0.500 0.000 0.511

SG: Imm2, No. 44
mass density: 7.127 g/cm3
V: 385.3 Å³ per cell

(ii)
Sm2Er3Mg: optimized geometry, GGA-PBE.

Unit cell a=7.554 b=7.554 c=6.749 alpha=93.82 beta=93.82 gamma=98.97
Fractional positions:
Sm 0.070 0.603 0.805
Sm 0.397 0.930 0.695
Sm 0.603 0.070 0.305
Sm 0.930 0.397 0.195
Er 0.049 0.951 0.250
Er 0.291 0.328 0.514
Er 0.328 0.291 0.014
Er 0.672 0.709 0.986
Er 0.709 0.672 0.486
Er 0.951 0.049 0.750
Mg 0.321 0.679 0.250
Mg 0.679 0.321 0.750

SG: C2/c, No. 15
mass density: 7.256 g/cm3
V: 378.4 Å³ per cell

How do the energies compare? Relative to the most stable structure, in kJ/mol of atoms: (i) 25.1; (ii) 0.0.

(i)
SmEr2Mg: optimized geometry, GGA-PBE.

Unit cell a=6.068 b=3.494 c=11.501 alpha=90.00 beta=100.21 gamma=90.00
Fractional positions:
Sm 0.000 0.000 0.000
Sm 0.500 0.500 0.000
Er 0.081 0.500 0.745
Er 0.419 0.000 0.257
Er 0.581 0.000 0.745
Er 0.919 0.500 0.257
Mg 0.168 0.000 0.500
Mg 0.668 0.500 0.500

SG: Cm, No. 8
mass density: 7.047 g/cm3
V: 240.0 Å³ per cell

(ii)
SmEr2Mg: optimized geometry, GGA-PBE.

Unit cell a=4.888 b=4.888 c=4.947 alpha=90.00 beta=90.00 gamma=90.00
Fractional positions:
Sm 0.000 0.000 0.000
Er 0.000 0.500 0.500
Er 0.500 0.000 0.500
Mg 0.500 0.500 0.000

SG: P4/mmm, No. 123
mass density: 7.155 g/cm3
V: 118.2 Å³ per cell

(iii)
SmEr2Mg: optimized geometry, GGA-PBE.

Unit cell a=3.591 b=3.591 c=9.172 alpha=90.00 beta=90.00 gamma=90.00
Fractional positions:
Sm 0.000 0.000 0.000
Er 0.500 0.500 0.269
Er 0.500 0.500 0.731
Mg 0.000 0.000 0.500

SG: P4/mmm, No. 123
mass density: 7.148 g/cm3
V: 118.3 Å³ per cell

(iv)
SmEr2Mg: optimized geometry, GGA-PBE.

Unit cell a=7.774 b=7.774 c=7.774 alpha=90.00 beta=90.00 gamma=90.00
Fractional positions:
Sm 0.000 0.000 0.000
Sm 0.000 0.500 0.500
Sm 0.500 0.000 0.500
Sm 0.500 0.500 0.000
Er 0.250 0.250 0.250
Er 0.250 0.250 0.750
Er 0.250 0.750 0.250
Er 0.250 0.750 0.750
Er 0.750 0.250 0.250
Er 0.750 0.250 0.750
Er 0.750 0.750 0.250
Er 0.750 0.750 0.750
Mg 0.000 0.000 0.500
Mg 0.000 0.500 0.000
Mg 0.500 0.000 0.000
Mg 0.500 0.500 0.500

SG: Fm-3m, No. 225
mass density: 7.199 g/cm3
V: 469.8 Å³ per cell

How do the energies compare? Relative to the most stable structure, in kJ/mol of atoms: (i) 7.1; (ii) 4.8; (iii) 0.0; (iv) 11.0.

(i)
SmEr2Mg: optimized geometry, GGA-PBE.

Unit cell a=5.058 b=5.058 c=18.551 alpha=90.00 beta=90.00 gamma=90.00
Fractional positions:
Sm 0.000 0.000 0.129
Sm 0.000 0.000 0.871
Sm 0.500 0.500 0.371
Sm 0.500 0.500 0.629
Er 0.000 0.000 0.367
Er 0.000 0.000 0.633
Er 0.000 0.500 0.000
Er 0.000 0.500 0.500
Er 0.500 0.000 0.000
Er 0.500 0.000 0.500
Er 0.500 0.500 0.133
Er 0.500 0.500 0.867
Mg 0.000 0.500 0.250
Mg 0.000 0.500 0.750
Mg 0.500 0.000 0.250
Mg 0.500 0.000 0.750

SG: I4/mmm, No. 139
mass density: 7.126 g/cm3
V: 474.6 Å³ per cell

(ii)
SmEr2Mg: optimized geometry, GGA-PBE.

Unit cell a=3.441 b=3.441 c=36.680 alpha=90.00 beta=90.00 gamma=120.00
Fractional positions:
Sm 0.000 0.000 0.000
Sm 0.333 0.667 0.667
Sm 0.667 0.333 0.333
Er 0.000 0.000 0.411
Er 0.000 0.000 0.589
Er 0.333 0.667 0.078
Er 0.333 0.667 0.255
Er 0.667 0.333 0.745
Er 0.667 0.333 0.922
Mg 0.000 0.000 0.500
Mg 0.333 0.667 0.167
Mg 0.667 0.333 0.833

SG: R-3m, No. 166
mass density: 6.745 g/cm3
V: 376.0 Å³ per cell

How do the energies compare? Relative to the most stable structure, in kJ/mol of atoms: (i) 0.0; (ii) 23.2.

(i)
Sm6ErMg: optimized geometry, GGA-PBE.

Unit cell a=5.024 b=5.024 c=10.135 alpha=90.00 beta=90.00 gamma=90.00
Fractional positions:
Sm 0.000 0.000 0.000
Sm 0.000 0.000 0.500
Sm 0.000 0.500 0.248
Sm 0.000 0.500 0.752
Sm 0.500 0.000 0.248
Sm 0.500 0.000 0.752
Er 0.500 0.500 0.500
Mg 0.500 0.500 0.000

SG: P4/mmm, No. 123
mass density: 7.100 g/cm3
V: 255.8 Å³ per cell

(ii)
Sm6ErMg: optimized geometry, GGA-PBE.

Unit cell a=6.417 b=6.420 c=6.426 alpha=96.22 beta=96.21 gamma=96.35
Fractional positions:
Sm 0.024 0.259 0.053
Sm 0.259 0.552 0.525
Sm 0.448 0.976 0.241
Sm 0.552 0.024 0.759
Sm 0.741 0.448 0.475
Sm 0.976 0.741 0.947
Er 0.000 0.000 0.500
Mg 0.500 0.500 0.000

SG: P-1, No. 2
mass density: 6.996 g/cm3
V: 259.6 Å³ per cell

How do the energies compare? Relative to the most stable structure, in kJ/mol of atoms: (i) 0.0; (ii) 9.6.

(i)
SmEr6Mg: optimized geometry, GGA-PBE.

Unit cell a=6.289 b=6.289 c=6.289 alpha=95.17 beta=95.17 gamma=95.17
Fractional positions:
Sm 0.000 0.000 0.000
Er 0.032 0.545 0.258
Er 0.258 0.032 0.545
Er 0.455 0.742 0.968
Er 0.545 0.258 0.032
Er 0.742 0.968 0.455
Er 0.968 0.455 0.742
Mg 0.500 0.500 0.500

SG: R-3, No. 148
mass density: 7.971 g/cm3
V: 245.4 Å³ per cell

(ii)
SmEr6Mg: optimized geometry, GGA-PBE.

Unit cell a=11.043 b=4.968 c=9.788 alpha=90.00 beta=116.33 gamma=90.00
Fractional positions:
Sm 0.000 0.000 0.000
Sm 0.500 0.500 0.000
Er 0.002 0.500 0.748
Er 0.246 0.000 0.377
Er 0.250 0.000 0.872
Er 0.250 0.500 0.128
Er 0.254 0.500 0.623
Er 0.498 0.000 0.252
Er 0.502 0.000 0.748
Er 0.746 0.500 0.377
Er 0.750 0.000 0.128
Er 0.750 0.500 0.872
Er 0.754 0.000 0.623
Er 0.998 0.500 0.252
Mg 0.000 0.000 0.500
Mg 0.500 0.500 0.500

SG: C2/m, No. 12
mass density: 8.131 g/cm3
V: 481.2 Å³ per cell

How do the energies compare? Relative to the most stable structure, in kJ/mol of atoms: (i) 10.1; (ii) 0.0.

(i)
Sm2Er6Mg: optimized geometry, GGA-PBE.

Unit cell a=3.529 b=3.529 c=25.893 alpha=90.00 beta=90.00 gamma=120.00
Fractional positions:
Sm 0.000 0.000 0.173
Sm 0.000 0.000 0.827
Er 0.000 0.000 0.395
Er 0.000 0.000 0.605
Er 0.667 0.333 0.064
Er 0.667 0.333 0.288
Er 0.667 0.333 0.712
Er 0.667 0.333 0.936
Mg 0.667 0.333 0.500

SG: P-6m2, No. 187
mass density: 7.900 g/cm3
V: 279.2 Å³ per cell

(ii)
Sm2Er6Mg: optimized geometry, GGA-PBE.

Unit cell a=10.481 b=10.481 c=5.000 alpha=90.00 beta=90.00 gamma=90.00
Fractional positions:
Sm 0.165 0.165 0.000
Sm 0.335 0.665 0.500
Sm 0.665 0.335 0.500
Sm 0.835 0.835 0.000
Er 0.001 0.666 0.500
Er 0.166 0.499 0.000
Er 0.168 0.832 0.000
Er 0.332 0.332 0.500
Er 0.334 0.999 0.500
Er 0.499 0.166 0.000
Er 0.501 0.834 0.000
Er 0.666 0.001 0.500
Er 0.668 0.668 0.500
Er 0.832 0.168 0.000
Er 0.834 0.501 0.000
Er 0.999 0.334 0.500
Mg 0.000 0.000 0.500
Mg 0.500 0.500 0.000

SG: P4_2/mnm, No. 136
mass density: 8.033 g/cm3
V: 549.3 Å³ per cell

How do the energies compare? Relative to the most stable structure, in kJ/mol of atoms: (i) 4.7; (ii) 0.0.

(i)
SmErMg: optimized geometry, GGA-PBE.

Unit cell a=3.642 b=3.642 c=13.269 alpha=90.00 beta=90.00 gamma=90.00
Fractional positions:
Sm 0.000 0.000 0.000
Sm 0.500 0.500 0.500
Er 0.000 0.000 0.680
Er 0.500 0.500 0.180
Mg 0.000 0.000 0.335
Mg 0.500 0.500 0.835

SG: I4mm, No. 107
mass density: 6.453 g/cm3
V: 176.0 Å³ per cell

(ii)
SmErMg: optimized geometry, GGA-PBE.

Unit cell a=5.455 b=5.455 c=3.401 alpha=90.00 beta=90.00 gamma=120.00
Fractional positions:
Sm 0.000 0.000 0.000
Er 0.667 0.333 0.569
Mg 0.333 0.667 0.305

SG: P3m1, No. 156
mass density: 6.477 g/cm3
V: 87.7 Å³ per cell

(iii)
SmErMg: optimized geometry, GGA-PBE.

Unit cell a=3.692 b=17.218 c=5.534 alpha=90.00 beta=90.00 gamma=90.00
Fractional positions:
Sm 0.000 0.092 0.250
Sm 0.000 0.908 0.750
Sm 0.500 0.408 0.750
Sm 0.500 0.592 0.250
Er 0.000 0.228 0.750
Er 0.000 0.772 0.250
Er 0.500 0.272 0.250
Er 0.500 0.728 0.750
Mg 0.000 0.431 0.250
Mg 0.000 0.569 0.750
Mg 0.500 0.069 0.750
Mg 0.500 0.931 0.250

SG: Cmcm, No. 63
mass density: 6.455 g/cm3
V: 351.8 Å³ per cell

(iv)
SmErMg: optimized geometry, GGA-PBE.

Unit cell a=3.439 b=5.427 c=9.472 alpha=90.00 beta=90.05 gamma=90.00
Fractional positions:
Sm 0.002 0.000 0.081
Sm 0.998 0.500 0.919
Er 0.500 0.000 0.739
Er 0.500 0.500 0.261
Mg 0.001 0.499 0.580
Mg 0.999 0.999 0.420

SG: P2_1, No. 4
mass density: 6.424 g/cm3
V: 176.8 Å³ per cell

How do the energies compare? Relative to the most stable structure, in kJ/mol of atoms: (i) 2.3; (ii) 10.4; (iii) 0.0; (iv) 8.7.

(i)
Sm3Er3Mg: optimized geometry, GGA-PBE.

Unit cell a=14.386 b=14.386 c=14.386 alpha=24.79 beta=24.79 gamma=24.79
Fractional positions:
Sm 0.101 0.435 0.770
Sm 0.230 0.899 0.565
Sm 0.435 0.770 0.101
Sm 0.565 0.230 0.899
Sm 0.770 0.101 0.435
Sm 0.899 0.565 0.230
Er 0.034 0.700 0.367
Er 0.300 0.633 0.966
Er 0.367 0.034 0.700
Er 0.633 0.966 0.300
Er 0.700 0.367 0.034
Er 0.966 0.300 0.633
Mg 0.167 0.167 0.167
Mg 0.833 0.833 0.833

SG: R-3, No. 148
mass density: 7.051 g/cm3
V: 460.2 Å³ per cell

(ii)
Sm3Er3Mg: optimized geometry, GGA-PBE.

Unit cell a=9.483 b=9.483 c=5.604 alpha=90.00 beta=90.00 gamma=120.00
Fractional positions:
Sm 0.102 0.629 0.250
Sm 0.371 0.473 0.250
Sm 0.473 0.102 0.750
Sm 0.527 0.898 0.250
Sm 0.629 0.527 0.750
Sm 0.898 0.371 0.750
Er 0.053 0.818 0.750
Er 0.182 0.235 0.750
Er 0.235 0.053 0.250
Er 0.765 0.947 0.750
Er 0.818 0.765 0.250
Er 0.947 0.182 0.250
Mg 0.333 0.667 0.750
Mg 0.667 0.333 0.250

SG: P6_3/m, No. 176
mass density: 7.437 g/cm3
V: 436.4 Å³ per cell

How do the energies compare? Relative to the most stable structure, in kJ/mol of atoms: (i) 7.1; (ii) 0.0.

(i)
Sm4Er2Mg: optimized geometry, GGA-PBE.

Unit cell a=5.924 b=3.646 c=10.909 alpha=90.00 beta=99.49 gamma=90.00
Fractional positions:
Sm 0.049 0.000 0.205
Sm 0.434 0.500 0.749
Sm 0.566 0.500 0.251
Sm 0.951 0.000 0.795
Er 0.000 0.500 0.500
Er 0.500 0.000 0.500
Mg 0.500 0.000 0.000

SG: P2/m, No. 10
mass density: 6.860 g/cm3
V: 232.4 Å³ per cell

(ii)
Sm4Er2Mg: optimized geometry, GGA-PBE.

Unit cell a=8.692 b=8.692 c=8.692 alpha=37.71 beta=37.71 gamma=37.71
Fractional positions:
Sm 0.068 0.068 0.068
Sm 0.212 0.212 0.212
Sm 0.788 0.788 0.788
Sm 0.932 0.932 0.932
Er 0.358 0.358 0.358
Er 0.642 0.642 0.642
Mg 0.500 0.500 0.500

SG: R-3m, No. 166
mass density: 7.232 g/cm3
V: 220.5 Å³ per cell

How do the energies compare? Relative to the most stable structure, in kJ/mol of atoms: (i) 3.9; (ii) 0.0.

(i)
SmErMg2: optimized geometry, GGA-PBE.

Unit cell a=7.606 b=7.606 c=7.606 alpha=90.00 beta=90.00 gamma=90.00
Fractional positions:
Sm 0.000 0.000 0.000
Sm 0.000 0.500 0.500
Sm 0.500 0.000 0.500
Sm 0.500 0.500 0.000
Er 0.000 0.000 0.500
Er 0.000 0.500 0.000
Er 0.500 0.000 0.000
Er 0.500 0.500 0.500
Mg 0.250 0.250 0.250
Mg 0.250 0.250 0.750
Mg 0.250 0.750 0.250
Mg 0.250 0.750 0.750
Mg 0.750 0.250 0.250
Mg 0.750 0.250 0.750
Mg 0.750 0.750 0.250
Mg 0.750 0.750 0.750

SG: Fm-3m, No. 225
mass density: 5.528 g/cm3
V: 440.1 Å³ per cell

(ii)
SmErMg2: optimized geometry, GGA-PBE.

Unit cell a=5.358 b=5.358 c=3.836 alpha=90.00 beta=90.00 gamma=90.00
Fractional positions:
Sm 0.000 0.000 0.000
Er 0.500 0.500 0.000
Mg 0.000 0.500 0.500
Mg 0.500 0.000 0.500

SG: P4/mmm, No. 123
mass density: 5.523 g/cm3
V: 110.1 Å³ per cell

How do the energies compare? Relative to the most stable structure, in kJ/mol of atoms: (i) 0.0; (ii) 0.5.